{"formula": "Ho2PuCoO8", "functional": "GGA+U", "state": "relaxed", "rho_g_cm3": 7.661, "spacegroup": "P2/m (10)", "total_energy_ev_per_atom": -8.182, "lattice": [[-0.984, -1.861, -4.451], [3.740, -3.097, 0.809], [-4.308, -4.467, 2.820]], "species": ["O", "O", "O", "O", "O", "O", "O", "O", "Co", "Ho", "Ho", "Pu"], "fractional_positions": [[0.702, 0.704, 0.000], [0.728, 0.729, 0.500], [0.183, 0.816, 0.226], [0.298, 0.296, 0.000], [0.817, 0.184, 0.226], [0.272, 0.271, 0.500], [0.183, 0.816, 0.774], [0.817, 0.184, 0.774], [0.000, 0.000, 0.500], [0.500, 0.500, 0.260], [0.500, 0.500, 0.740], [0.000, 0.000, 0.000]]}